[1]
The following is a DFT calculation (PBE-GGA) of a geometry-optimized Rb2PuNpBr8 structure.

Cell: 7.204 7.866 9.070 Å, 90.29 90.39 92.14°
Space group P-1 (No. 2)
Asymmetric unit:
Rb  0.001  0.001  0.249 [2 per cell]
Pu  0.500  0.500  0.000 [1 per cell]
Np  0.500  0.500  0.500 [1 per cell]
Br  0.277  0.622  0.745 [2 per cell]
Br  0.278  0.623  0.253 [2 per cell]
Br  0.286  0.191  0.001 [2 per cell]
Br  0.291  0.191  0.504 [2 per cell]

Energy relative to the elements, uncorrected (kJ/mol of atoms): -146.9
M_tot (μB/f.u.): 1.4
E (eV/atom): -5.0715

***

[2]
The following is a DFT calculation (PBE-GGA) of a geometry-optimized Ca2MgFe structure.

Cell: 4.699 4.699 9.333 Å, 90.00 90.00 90.00°
Space group I-4m2 (No. 119)
Asymmetric unit:
Ca  0.000  0.000  0.000 [2 per cell]
Ca  0.000  0.500  0.250 [2 per cell]
Mg  0.000  0.000  0.500 [2 per cell]
Fe  0.000  0.500  0.750 [2 per cell]

Calculated formation energy (eV per atom): 0.42
M_tot (μB/f.u.): 2.1
E (eV/atom): -3.0978

***

[3]
The following is a DFT calculation (PBE-GGA) of a geometry-optimized NbV2H2 structure.

Cell: 3.214 3.214 9.662 Å, 90.00 90.00 90.00°
Space group I4/mmm (No. 139)
Asymmetric unit:
Nb  0.000  0.000  0.000 [2 per cell]
V  0.000  0.000  0.340 [4 per cell]
H  0.000  0.500  0.250 [4 per cell]

Polymorph energy (0 for the lowest one) (meV/atom): 0.0
M_tot (μB/f.u.): 0.0
E (eV/atom): -7.1667

***

> What is the formula in the second record?

Ca2MgFe

***

> M_tot of number 3 (NbV2H2)?

0.0 μB/f.u.

***

> What is the E in the first record?

-5.0715 eV/atom

***

> What is the E in the third record?

-7.1667 eV/atom